[1]
Here is Pm2YHoEr2 after structural relaxation from the Alexandria database. Energies are from GGA-PBE.

Geometry as extended XYZ:
```
12
Lattice="-4.754 -2.854 1.003 2.550 -5.488 -3.527 3.849 -3.513 8.247" Properties=species:S:1:pos:R:3 pbc="T T T"
Y 1.943 -1.798 4.097
Y 3.218 -4.541 2.333
Pm 1.329 -2.027 0.530
Pm 1.491 -4.982 8.721
Pm 5.109 -7.058 4.135
Pm -1.082 -4.213 -1.289
Er 2.561 -4.732 -1.326
Er 2.128 -7.933 3.346
Er 3.877 -4.353 5.991
Er -0.446 -4.003 2.325
Ho 0.822 -5.160 5.041
Ho 0.861 -6.776 0.629
```

Calculated values
DOS at the Fermi energy, states/eV per atom: 1.638
Symmetry: Pmma (51)
Calculated density, g cm⁻³: 7.6
DFT formation energy, meV/atom: 66

***

[2]
Here is Zr3Ti4Ga4 after structural relaxation from the Alexandria database. Energies are from GGA-PBE.

Geometry as extended XYZ:
```
11
Lattice="-3.313 1.327 0.342 -2.572 -7.126 2.739 4.451 4.937 5.178" Properties=species:S:1:pos:R:3 pbc="T T T"
Ga -3.714 -5.036 2.361
Ga -0.595 -2.631 4.444
Ga -0.838 1.769 3.815
Ga -2.172 -0.763 0.719
Ti -1.887 -0.722 3.314
Ti -2.948 -3.659 4.443
Ti 0.454 -0.140 4.945
Ti 1.514 2.797 3.816
Zr -1.802 -1.360 6.617
Zr -1.286 -3.563 1.369
Zr 0.369 0.498 1.641
```

Calculated values
DOS at the Fermi energy, states/eV per atom: 1.317
Symmetry: Immm (71)
Calculated density, g cm⁻³: 6.0
DFT formation energy, meV/atom: -328